A plane-wave DFT calculation with PBE-GGA was carried out for a relaxed structure of Tl2ZnO.

Values from the calculation:
Total DFT energy (no corrections) (eV per atom): -2.70
Total moment (μB/f.u.): 0.000
Formation energy from raw total energies (meV/atom): 44

a = 4.903 Å, b = 4.903 Å, c = 4.903 Å
α = 60.00°, β = 60.00°, γ = 60.00°
Sites, in units of the cell vectors:
Tl (0.250, 0.250, 0.250)
Tl (0.750, 0.750, 0.750)
Zn (0.500, 0.500, 0.500)
O (0.000, 0.000, 0.000)